# YCuW2

An optimized crystal structure of YCuW2 (PBE, Alexandria).

Geometry as POSCAR:
```
YCuW2
1.0
2.871 0.001 0.000
-0.921 2.720 0.000
0.000 0.000 9.053
Cu W Y
1 2 1
Direct
0.500 0.500 0.773 Cu
0.000 0.000 0.994 W
0.500 0.500 0.224 W
0.000 0.000 0.509 Y
```

Computed properties:
Total magnetic moment   0.00 μB/cell
Energy above the lowest structure with this stoichiometry   137 meV per atom
DFT formation energy   0.41 eV per atom
Raw total energy   -34.81 eV/cell